Entry from the Alexandria database: a relaxed SrIn4P crystal (PBE).

The calculation puts the excess energy over the best structure of this formula in the dataset at 1.57 eV per formula unit. The calculation puts the total energy at -17.578 eV per formula unit. For the calculated density, the calculation gives 5.74 Mg/m³. As for the energy of formation: 78 meV/atom.

The structure belongs to space group F-43m (No. 216); the cell edges are 8.7448, 8.7448 and 8.7448 Å and the angles 90.00°, 90.00° and 90.00°. The distinct sites, in fractional coordinates, are Sr at (0.0000, 0.0000, 0.0000), In at (0.1244, 0.1244, 0.6244) and P at (0.2500, 0.2500, 0.2500).